PaZnCrO6: relaxed, PBE with a Hubbard U.

Density (Mg/m³): 6.77
Size of the total moment (μB per formula unit): 0.992
Raw total energy (eV per cell): -132.48
N(E_F) (states/eV/f.u.): 3.254

a = 5.3708 Å, b = 5.3708 Å, c = 8.7225 Å
α = 90.00°, β = 90.00°, γ = 120.00°
Last column: nearest neighbours and their distance in Å.
Space group P-31c (No. 163)
One atom of each set of equivalent atoms:
Pa 0.3333 0.6667 0.2500 (multiplicity 2)  6 O 2.17
Zn 0.0000 0.0000 0.0000 (multiplicity 2)  6 O 2.19
Cr 0.3333 0.6667 0.7500 (multiplicity 2)  6 O 1.92
O 0.0346 0.3648 0.6299 (multiplicity 12)  1 Cr 1.92